CrHg3F: optimized geometry, PBE+U.

abc: 5.084 5.084 5.084
angles: 90.00 90.00 90.00
Space group Pm-3m (No. 221)
Inequivalent atoms, fractional coordinates:
Cr 0.000 0.000 0.000 (multiplicity 1)
Hg 0.000 0.500 0.500 (multiplicity 3)
F 0.500 0.500 0.500 (multiplicity 1)

Values from the calculation:
- total magnetization (Bohr magnetons per cell) = 5.0
- calculated total energy (eV/atom) = -2.0123
- ΔE to the lowest computed polymorph (meV per atom) = 97
- Fermi-level density of states (states/eV/atom) = 0.33